Ta2AlSe: PBEsol geometry, meta-GGA SCAN.

Geometry as POSCAR:
```
Ta2AlSe
1.0
3.0339 0.0000 0.0000
0.0000 3.0339 0.0000
0.0000 0.0000 7.1488
Ta Al Se
2 1 1
direct
0.0000 0.0000 0.2362
0.0000 0.0000 0.7638
0.5000 0.5000 0.5000
0.5000 0.5000 0.0000
```

Values from the calculation:
Energy above the lowest structure with this stoichiometry, eV per atom: 0.0000
Total moment, μB per cell: 0.000
ΔE_f (raw), eV per atom: -0.076
V, Å³/f.u.: 65.8

Ta2AlSe: PBEsol geometry, meta-GGA SCAN.

Geometry as POSCAR:
```
Ta2AlSe
1.0
0.0000 3.2411 3.2411
3.2411 0.0000 3.2411
3.2411 3.2411 0.0000
Ta Al Se
2 1 1
direct
0.0000 0.0000 0.0000
0.2500 0.2500 0.2500
0.7500 0.7500 0.7500
0.5000 0.5000 0.5000
```

Values from the calculation:
Energy above the lowest structure with this stoichiometry, eV per atom: 0.3688
Total moment, μB per cell: 0.000
ΔE_f (raw), eV per atom: 0.293
V, Å³/f.u.: 68.1

TaAlSe: PBEsol geometry, meta-GGA SCAN.

Geometry as POSCAR:
```
TaAlSe
1.0
0.0000 3.1224 3.1224
3.1224 0.0000 3.1224
3.1224 3.1224 0.0000
Ta Al Se
1 1 1
direct
0.0000 0.0000 0.0000
0.7500 0.7500 0.7500
0.2500 0.2500 0.2500
```

Values from the calculation:
Total moment, μB per cell: 0.002
ΔE_f (raw), eV per atom: 0.592
V, Å³/f.u.: 60.9

TaAlSe2: PBEsol geometry, meta-GGA SCAN.

Geometry as POSCAR:
```
TaAlSe2
1.0
4.9513 0.0000 0.0000
0.0000 1.7000 4.4445
0.0000 -1.7000 4.4445
Ta Al Se
1 1 2
direct
0.0000 0.0000 0.0000
0.5000 0.4048 0.4048
0.0000 0.7136 0.7136
0.5000 0.1103 0.1103
```

Values from the calculation:
Total moment, μB per cell: 0.000
ΔE_f (raw), eV per atom: -0.261
V, Å³/f.u.: 74.8

TaAlSe2: PBEsol geometry, meta-GGA SCAN.

Geometry as POSCAR:
```
TaAlSe2
1.0
3.3781 0.0000 0.0000
0.0000 3.9870 0.0000
0.0000 0.0000 5.3507
Ta Al Se
1 1 2
direct
0.0000 0.0000 0.0000
0.5000 0.0000 0.5000
0.0000 0.5000 0.5000
0.5000 0.5000 0.0000
```

Values from the calculation:
Total moment, μB per cell: 0.000
ΔE_f (raw), eV per atom: 0.216
V, Å³/f.u.: 72.1

TaAlSe2: PBEsol geometry, meta-GGA SCAN.

Geometry as POSCAR:
```
TaAlSe2
1.0
4.5787 0.0000 0.0000
0.0000 4.5787 0.0000
0.0000 0.0000 3.1828
Ta Al Se
1 1 2
direct
0.0000 0.0000 0.0000
0.5000 0.5000 0.0000
0.0000 0.5000 0.5000
0.5000 0.0000 0.5000
```

Values from the calculation:
Total moment, μB per cell: 0.000
ΔE_f (raw), eV per atom: 0.068
V, Å³/f.u.: 66.7